DFT (PBE) results for a relaxed structure of H2SeF.

* polymorph energy (0 for the lowest one): 784.6 meV per atom
* spin magnetization: 0.000 μB per atom
* density: 4.78 Mg/m³
* uncorrected energy: -9.576 eV per formula unit

Geometry as CIF:
```
data_H2SeF
_chemical_formula_sum 'H8 Se4 F4'
_space_group_name_H-M_alt 'F m -3 m'
_space_group_IT_number 225
_space_group_name_Hall '-F 4 2 3'
_cell_length_a 5.1802
_cell_length_b 5.1802
_cell_length_c 5.1802
_cell_angle_alpha 90.00
_cell_angle_beta 90.00
_cell_angle_gamma 90.00
loop_
_atom_site_label
_atom_site_fract_x
_atom_site_fract_y
_atom_site_fract_z
H1 0.2500 0.2500 0.2500
Se1 0.0000 0.0000 0.0000
F1 0.0000 0.0000 0.5000
```